(1)
This record from the Alexandria database describes crystalline PuMoS2 at its relaxed geometry. The functional is PBE.

Structure (CIF):
```
data_PuMoS2
_chemical_formula_sum 'Pu3 Mo3 S6'
_space_group_name_H-M_alt 'R -3 m'
_space_group_IT_number 166
_space_group_name_Hall '-R 3 2"'
_cell_length_a 3.2289
_cell_length_b 3.2289
_cell_length_c 26.4566
_cell_angle_alpha 90.00
_cell_angle_beta 90.00
_cell_angle_gamma 120.00
loop_
_atom_site_label
_atom_site_fract_x
_atom_site_fract_y
_atom_site_fract_z
_atom_site_occupancy
Pu1 0.0000 0.0000 0.0000 1
Mo1 0.0000 0.0000 0.5000 1
S1 0.0000 0.0000 0.1062 1
```

* E_tot: -105.69 eV per cell
* calculated volume: 19.907 A^3/atom
* E_form (uncorrected): -1.811 eV/f.u.

***

(2)
This record from the Alexandria database describes crystalline PmPa2Cl8 at its relaxed geometry. The functional is PBE.

Structure (CIF):
```
data_PmPa2Cl8
_chemical_formula_sum 'Pm2 Pa4 Cl16'
_space_group_name_H-M_alt 'C 1 2/m 1'
_space_group_IT_number 12
_cell_length_a 12.583
_cell_length_b 6.777
_cell_length_c 8.028
_cell_angle_alpha 90.00
_cell_angle_beta 91.18
_cell_angle_gamma 90.00
loop_
_space_group_symop_operation_xyz
'x,y,z'
'-x,-y,-z'
'-x,y,-z'
'x,-y,z'
'x+1/2,y+1/2,z'
'-x+1/2,-y+1/2,-z'
'-x+1/2,y+1/2,-z'
'x+1/2,-y+1/2,z'
loop_
_atom_site_label
_atom_site_fract_x
_atom_site_fract_y
_atom_site_fract_z
_atom_site_occupancy
Pm1 0.000 0.000 0.000 1
Pa1 0.096 0.000 0.464 1
Cl1 0.044 0.250 0.741 1
Cl2 0.196 0.000 0.153 1
Cl3 0.202 0.500 0.424 1
```

* E_tot: -114.68 eV per cell
* calculated volume: 31.111 A^3/atom
* E_form (uncorrected): -18.824 eV/f.u.

***

(3)
This record from the Alexandria database describes crystalline La2Ga3Sn2 at its relaxed geometry. The functional is PBE.

Structure (CIF):
```
data_La2Ga3Sn2
_chemical_formula_sum 'La8 Ga12 Sn8'
_space_group_name_H-M_alt 'I 21 3'
_space_group_IT_number 199
_space_group_name_Hall 'I 2b 2c 3'
_cell_length_a 9.076
_cell_length_b 9.076
_cell_length_c 9.076
_cell_angle_alpha 90.00
_cell_angle_beta 90.00
_cell_angle_gamma 90.00
loop_
_atom_site_label
_atom_site_fract_x
_atom_site_fract_y
_atom_site_fract_z
_atom_site_occupancy
La1 0.249 0.251 0.749 1
Ga1 0.000 0.250 0.018 1
Sn1 0.050 0.450 0.550 1
```

* E_tot: -118.94 eV per cell
* calculated volume: 26.701 A^3/atom
* ΔE_f: -0.40 eV/atom

***

(4)
This record from the Alexandria database describes crystalline Dy4YEr5 at its relaxed geometry. The functional is PBE.

Structure (CIF):
```
data_Dy4YEr5
_chemical_formula_sum 'Dy4 Y1 Er5'
_space_group_name_H-M_alt 'P -1'
_space_group_IT_number 2
_cell_length_a 3.536
_cell_length_b 6.712
_cell_length_c 13.816
_cell_angle_alpha 97.34
_cell_angle_beta 90.06
_cell_angle_gamma 104.73
loop_
_space_group_symop_operation_xyz
'x,y,z'
'-x,-y,-z'
loop_
_atom_site_label
_atom_site_fract_x
_atom_site_fract_y
_atom_site_fract_z
_atom_site_occupancy
Dy1 0.118 0.202 0.306 1
Dy2 0.182 0.329 0.713 1
Y1 0.000 0.500 0.500 1
Er1 0.185 0.374 0.084 1
Er2 0.463 0.918 0.114 1
Er3 0.500 0.000 0.500 1
```

* E_tot: -47.11 eV per cell
* calculated volume: 31.436 A^3/atom
* ΔE_f: 0.06 eV/atom

***

(5)
This record from the Alexandria database describes crystalline Pm2Dy5Th2 at its relaxed geometry. The functional is PBE.

Structure (CIF):
```
data_Pm2Dy5Th2
_chemical_formula_sum 'Pm4 Dy10 Th4'
_space_group_name_H-M_alt 'C 1 2/m 1'
_space_group_IT_number 12
_cell_length_a 22.536
_cell_length_b 3.480
_cell_length_c 8.053
_cell_angle_alpha 90.00
_cell_angle_beta 98.85
_cell_angle_gamma 90.00
loop_
_space_group_symop_operation_xyz
'x,y,z'
'-x,-y,-z'
'-x,y,-z'
'x,-y,z'
'x+1/2,y+1/2,z'
'-x+1/2,-y+1/2,-z'
'-x+1/2,y+1/2,-z'
'x+1/2,-y+1/2,z'
loop_
_atom_site_label
_atom_site_fract_x
_atom_site_fract_y
_atom_site_fract_z
_atom_site_occupancy
Pm1 0.176 0.000 0.148 1
Dy1 0.000 0.000 0.000 1
Dy2 0.091 0.000 0.729 1
Dy3 0.192 0.500 0.545 1
Th1 0.052 0.500 0.354 1
```

* E_tot: -89.99 eV per cell
* calculated volume: 34.672 A^3/atom
* ΔE_f: 0.26 eV/atom

***

(6)
This record from the Alexandria database describes crystalline Ca4B3Pd12Au at its relaxed geometry. The functional is PBE.

Structure (CIF):
```
data_Ca4B3Pd12Au
_chemical_formula_sum 'Ca8 B6 Pd24 Au2'
_space_group_name_H-M_alt 'I m -3 m'
_space_group_IT_number 229
_space_group_name_Hall '-I 4 2 3'
_cell_length_a 8.972
_cell_length_b 8.972
_cell_length_c 8.972
_cell_angle_alpha 90.00
_cell_angle_beta 90.00
_cell_angle_gamma 90.00
loop_
_atom_site_label
_atom_site_fract_x
_atom_site_fract_y
_atom_site_fract_z
_atom_site_occupancy
Ca1 0.250 0.250 0.250 1
B1 0.000 0.000 0.500 1
Pd1 0.000 0.000 0.284 1
Pd2 0.000 0.250 0.500 1
Au1 0.000 0.000 0.000 1
```

* E_tot: -204.83 eV per cell
* calculated volume: 18.056 A^3/atom
* ΔE_f: -0.44 eV/atom

***

Question: Which value of E_tot does entry 3 give?
Answer: -118.94 eV per cell